# PBE ScPa2Si2, optimized geometry
data_ScPa2Si2
_chemical_formula_sum 'Sc2 Pa4 Si4'
_cell_length_a 7.0575
_cell_length_b 7.0575
_cell_length_c 4.2770
_cell_angle_alpha 90.00
_cell_angle_beta 90.00
_cell_angle_gamma 90.00
_space_group_name_H-M_alt 'P 4/m b m'
_space_group_IT_number 127
_space_group_name_Hall '-P 4 2ab'
loop_
_atom_site_label
_atom_site_type_symbol
_atom_site_fract_x
_atom_site_fract_y
_atom_site_fract_z
Sc1 Sc 0.0000 0.0000 0.0000
Pa1 Pa 0.1798 0.3202 0.5000
Si1 Si 0.1216 0.6216 0.0000
# Calculated density in g/cm3: 8.78
# Electronic total energy in eV/atom: -7.75
# Crystal system: tetragonal
# Magnetization in μB per atom: 0.00